a:
{"formula": "BaMg4", "functional": "PBE", "state": "optimized geometry", "vol_a3_per_fu": 157, "m_tot_mub_per_cell": 0.00, "density_g_cm3": 2.5, "lattice": [[9.338, 0.000, 0.000], [-3.113, 8.804, 0.000], [-3.113, -4.402, 7.624]], "species": ["Mg", "Mg", "Mg", "Mg", "Ba", "Mg", "Mg", "Mg", "Mg", "Ba", "Ba", "Mg", "Ba", "Mg", "Mg", "Mg", "Mg", "Mg", "Mg", "Mg"], "frac_coords": [[0.750, 0.500, 0.250], [0.000, 0.204, 0.000], [0.000, 0.000, 0.204], [0.643, 0.000, 0.643], [0.000, 0.000, 0.572], [0.357, 0.000, 0.357], [0.000, 0.643, 0.643], [0.500, 0.250, 0.750], [0.250, 0.750, 0.500], [0.572, 0.000, 0.000], [0.428, 0.428, 0.428], [0.250, 0.500, 0.750], [0.000, 0.572, 0.000], [0.796, 0.796, 0.796], [0.357, 0.357, 0.000], [0.643, 0.643, 0.000], [0.204, 0.000, 0.000], [0.750, 0.250, 0.500], [0.000, 0.357, 0.357], [0.500, 0.750, 0.250]]}

=====

b:
{"formula": "BaMg4", "functional": "PBE", "state": "optimized geometry", "vol_a3_per_fu": 161, "m_tot_mub_per_cell": 0.00, "density_g_cm3": 2.4, "lattice": [[7.625, -0.067, 0.000], [4.582, 6.095, 0.000], [-6.104, -3.014, 3.436]], "species": ["Mg", "Ba", "Mg", "Mg", "Mg"], "frac_coords": [[0.612, 0.612, 0.000], [0.000, 0.000, 0.000], [0.388, 0.388, 0.000], [0.750, 0.250, 0.500], [0.250, 0.750, 0.500]]}

=====

c:
{"formula": "BaMg4", "functional": "PBE", "state": "optimized geometry", "vol_a3_per_fu": 151, "m_tot_mub_per_cell": 0.00, "density_g_cm3": 2.6, "lattice": [[7.353, 0.000, 0.000], [0.000, 7.353, 0.000], [3.677, 3.677, 2.794]], "species": ["Mg", "Mg", "Mg", "Ba", "Mg"], "frac_coords": [[0.197, 0.499, 0.000], [0.501, 0.197, 0.000], [0.499, 0.803, 0.000], [0.000, 0.000, 0.000], [0.803, 0.501, 0.000]]}

=====

The structure with the greatest stability is c.